Entry from Alexandria via LeMat-Bulk: a relaxed K3YC crystal (PBE).

Output
E_form in meV per atom: 1436
E above lowest polymorph in eV/atom: 0.0000
Magnetic moment in μB/f.u.: 0.00
Space-group type: No. 221
Density in g cm⁻³: 1.764

abc: 5.9004 5.9004 5.9004
angles: 90.00 90.00 90.00
Atoms (fractional coordinates):
K: 0.0000 0.0000 0.5000
K: 0.0000 0.5000 0.0000
K: 0.5000 0.0000 0.0000
Y: 0.5000 0.5000 0.5000
C: 0.0000 0.0000 0.0000

Entry from Alexandria via LeMat-Bulk: a relaxed KYC2 crystal (PBE).

Output
E_form in meV per atom: 1564
E above lowest polymorph in eV/atom: 0.0000
Magnetic moment in μB/f.u.: 0.72
Space-group type: No. 122
Density in g cm⁻³: 2.547

abc: 8.2769 8.2769 8.2769
angles: 143.63 143.63 52.38
Atoms (fractional coordinates):
K: 0.0000 0.0000 0.0000
K: 0.7500 0.2500 0.5000
Y: 0.2500 0.7500 0.5000
Y: 0.5000 0.5000 0.0000
C: 0.2680 0.6250 0.1430
C: 0.3750 0.5180 0.6430
C: 0.4820 0.1250 0.8570
C: 0.8750 0.7320 0.3570

Entry from Alexandria via LeMat-Bulk: a relaxed K2YC crystal (PBE).

Output
E_form in meV per atom: 768
Magnetic moment in μB/f.u.: 0.00
Space-group type: No. 122
Density in g cm⁻³: 1.712

abc: 9.0347 9.0347 9.0347
angles: 93.63 93.63 150.87
Atoms (fractional coordinates):
K: 0.3750 0.2049 0.3299
K: 0.7951 0.1250 0.1701
K: 0.8750 0.0451 0.6701
K: 0.9549 0.6250 0.8299
Y: 0.2500 0.7500 0.5000
Y: 0.5000 0.5000 0.0000
C: 0.0000 0.0000 0.0000
C: 0.7500 0.2500 0.5000